TbNd3Pb2: optimized geometry, PBE.

```
TbNd3Pb2
1.0
-2.2349 -2.0916 3.5301
3.8916 0.1937 2.5786
-2.4714 7.9302 3.1340
Tb Nd Pb
1 3 2
Cartesian
0.8284 -0.9489 3.0544
-1.9739 1.7023 2.8511
0.3309 5.2790 3.3372
0.0000 0.0000 0.0000
-2.8934 4.6530 4.0172
1.2504 2.3283 2.1712
```

Computed properties:
* SG: P-4m2
* calculated density: 8.619 g/cm³
* polymorph energy (0 for the lowest one): 0.0 meV per atom
* total magnetic moment: 0.0 μB per formula unit

***

Tb2NdPb2: optimized geometry, PBE.

```
Tb2NdPb2
1.0
-1.8935 -4.2039 0.5901
3.8040 -1.3877 2.2824
-3.8915 4.9644 4.8403
Tb Nd Pb
2 1 2
Cartesian
0.4332 0.3901 4.2793
-2.4142 -1.0173 3.4336
0.0000 0.0000 0.0000
0.3675 -2.3729 2.7113
-2.3484 1.7456 5.0015
```

Computed properties:
* SG: C2/m
* calculated density: 9.278 g/cm³
* total magnetic moment: 0.0 μB per formula unit

***

TbNdPb2: optimized geometry, PBE.

```
TbNdPb2
1.0
-0.4981 -3.8470 2.4741
3.7857 0.9540 2.2455
-2.8991 4.9188 2.7977
Tb Nd Pb
1 1 2
Cartesian
-3.1565 2.0110 4.4671
0.3871 0.9100 3.4773
-0.8107 4.2179 4.0913
-1.9648 -1.2911 3.8609
```

Computed properties:
* SG: Pm
* calculated density: 9.697 g/cm³
* total magnetic moment: 0.0 μB per formula unit

***

TbNd2Pb2: optimized geometry, PBE.

```
TbNd2Pb2
1.0
4.5710 0.0000 0.0000
0.0000 8.3266 0.0000
0.0000 0.0000 8.3266
Tb Nd Pb
2 4 4
Cartesian
0.0000 0.0000 0.0000
0.0000 4.1633 4.1633
2.2855 1.4015 5.5648
2.2855 5.5648 6.9251
2.2855 6.9251 2.7618
2.2855 2.7618 1.4015
0.0000 3.0312 7.1945
0.0000 7.1945 5.2954
0.0000 5.2954 1.1321
0.0000 1.1321 3.0312
```

Computed properties:
* SG: P4/mbm
* calculated density: 9.031 g/cm³
* polymorph energy (0 for the lowest one): 0.0 meV per atom
* total magnetic moment: 0.0 μB per formula unit

***

TbNd5Pb4: optimized geometry, PBE.

```
TbNd5Pb4
1.0
5.5077 0.0000 0.0000
0.0000 6.8008 -2.7985
-2.7539 -3.5273 10.5487
Tb Nd Pb
1 5 4
Cartesian
2.7539 0.0000 0.0000
2.7539 2.2296 5.1434
2.7539 -1.2457 6.5845
0.0000 4.5192 1.1657
2.7539 3.4004 -1.3993
0.0000 1.0439 2.6068
0.0000 3.8232 4.3551
2.7539 1.5502 8.3051
2.7539 -0.5497 3.3951
0.0000 1.7233 -0.5549
```

Computed properties:
* SG: C2/m
* calculated density: 8.328 g/cm³
* total magnetic moment: 0.0 μB per formula unit

***

Tb7Nd12Pb: optimized geometry, PBE.

```
Tb7Nd12Pb
1.0
-4.6455 6.8105 -3.0529
-5.2014 -0.2288 7.0835
5.2844 5.6314 4.2006
Tb Nd Pb
7 12 1
Cartesian
-2.2256 10.9579 5.7235
-1.3140 3.4038 -0.1133
0.9659 2.5282 2.4495
-2.2812 6.1065 4.1156
-5.5284 9.6848 5.7817
-3.2485 8.8093 8.3445
-2.3368 1.2552 2.5077
-1.5418 10.0288 2.3239
-4.0966 5.6554 0.1606
-0.9915 6.9823 1.2133
-4.5814 7.8672 2.5461
1.9883 5.8900 3.1854
0.2103 8.1621 4.7645
-4.7727 4.0510 3.4667
-6.5508 6.3231 5.0458
0.0190 4.3459 5.6851
-3.5710 5.2308 7.0180
-0.4658 6.5577 8.0706
-3.0207 2.1843 5.9073
0.0000 0.0000 0.0000
```

Computed properties:
* SG: R-3
* calculated density: 7.458 g/cm³
* total magnetic moment: 0.0 μB per formula unit

***

Tb4NdPb4: optimized geometry, PBE.

```
Tb4NdPb4
1.0
6.2396 0.0000 0.0000
0.0000 10.0551 0.0000
0.0000 0.0000 10.0551
Tb Nd Pb
8 2 8
Cartesian
2.5402 3.3973 9.0567
5.6600 6.0259 8.4249
2.5402 6.6577 0.9984
0.5796 1.6302 6.0259
3.6995 9.0567 6.6577
0.5796 8.4249 4.0292
5.6600 4.0292 1.6302
3.6995 0.9984 3.3973
0.0000 0.0000 0.0000
3.1198 5.0275 5.0275
3.6602 7.9004 3.7354
3.6602 2.1546 6.3197
0.5403 8.7629 7.1822
5.6993 2.8729 8.7629
5.6993 7.1822 1.2922
2.5795 3.7354 2.1546
2.5795 6.3197 7.9004
0.5403 1.2922 2.8729
```

Computed properties:
* SG: P4_2/n
* calculated density: 8.469 g/cm³
* total magnetic moment: 0.0 μB per formula unit

***

Tb5NdPb5: optimized geometry, PBE.

```
Tb5NdPb5
1.0
6.3217 0.0000 0.0000
-3.1608 7.8620 0.6042
0.0000 -2.2394 7.1574
Tb Nd Pb
5 1 5
Cartesian
3.1608 1.6970 2.6213
3.1608 0.7562 6.2320
0.0000 -1.1197 3.5787
0.0000 4.8664 1.5296
0.0000 3.9256 5.1403
0.0000 0.0000 0.0000
3.1608 4.7770 1.7305
3.1608 3.7413 5.0980
3.1608 0.0000 0.0000
0.0000 1.8814 2.6636
0.0000 0.8456 6.0311
```

Computed properties:
* SG: C2/m
* calculated density: 9.002 g/cm³
* total magnetic moment: 0.7 μB per formula unit

***

TbNd14Pb: optimized geometry, PBE.

```
TbNd14Pb
1.0
-3.0440 -0.9510 -6.5404
-5.7867 -3.0982 3.1405
-4.5322 9.2410 0.7656
Tb Nd Pb
1 14 1
Cartesian
-3.3870 -1.2196 -5.3296
-7.0248 2.3271 -0.1053
-5.6523 3.4016 -4.9498
-6.2804 -2.7687 -3.7596
-8.5454 1.8523 -3.3767
-1.8648 -0.7440 -2.0596
-4.1319 3.8761 -1.6775
-10.3720 3.6752 -0.7570
-8.0635 -1.0318 -1.1470
-5.9848 5.6869 0.9321
-3.6763 0.9799 0.5421
-8.8598 4.1483 2.4917
-6.5507 -0.5597 2.1017
-7.4973 5.2136 -2.3157
-5.1893 0.5075 -2.7056
-4.7581 -2.2930 -0.4899
```

Computed properties:
* SG: P4/mmm
* calculated density: 7.249 g/cm³
* total magnetic moment: 0.0 μB per formula unit

***

TbNd2Pb2: optimized geometry, PBE.

```
TbNd2Pb2
1.0
-7.1739 0.3283 1.0452
0.7562 -5.6680 6.9705
1.2868 7.9492 6.3242
Tb Nd Pb
4 8 8
Cartesian
-0.9952 0.8474 5.5685
-4.1357 1.7621 8.7714
-4.8229 2.8159 3.8721
-0.3080 -0.2064 10.4678
-3.2819 -0.5287 2.8349
0.3059 -0.6992 2.3201
-5.4368 3.3088 12.0198
-1.8490 3.1383 11.5050
-6.1959 -1.3823 8.2856
-2.6078 -1.5548 7.7733
-2.5231 4.1644 6.5666
1.0650 3.9918 6.0544
-4.5249 -4.2010 8.0830
-1.2313 -2.1662 4.8561
-3.8996 4.7758 9.4838
-0.6060 6.8105 6.2569
-4.6079 0.5746 5.9478
-1.2889 2.4182 2.9561
-3.8420 0.1913 11.3838
-0.5230 2.0350 8.3921
```

Computed properties:
* SG: P2_1/c
* calculated density: 8.544 g/cm³
* polymorph energy (0 for the lowest one): 133.4 meV per atom
* total magnetic moment: 0.0 μB per formula unit

***

TbNd3Pb2: optimized geometry, PBE.

```
TbNd3Pb2
1.0
-4.3229 1.5973 -1.9417
-4.1163 -7.4502 3.0354
2.4672 6.7737 6.5197
Tb Nd Pb
2 6 4
Cartesian
-2.0582 -3.7251 1.5177
0.0000 0.0000 0.0000
-3.1905 -1.0639 -0.2120
-5.2487 -4.7890 1.3057
-2.2658 5.1497 2.8410
-1.6480 -0.5037 3.2547
-3.7062 -4.2288 4.7724
-4.3240 1.4246 4.3587
-1.2299 2.7003 4.9598
-2.6838 1.9457 1.1360
-3.2882 -1.0248 6.4774
-4.7421 -1.7794 2.6536
```

Computed properties:
* SG: Cmmm
* calculated density: 8.978 g/cm³
* polymorph energy (0 for the lowest one): 42.0 meV per atom
* total magnetic moment: 0.0 μB per formula unit

***

TbNdPb2: optimized geometry, PBE.

```
TbNdPb2
1.0
-2.5554 0.8744 -2.3607
-0.7695 -3.4741 -0.4538
-6.0823 0.4646 6.7561
Pb Nd Tb
2 1 1
Cartesian
-4.6024 0.3516 5.1122
-1.4799 0.1130 1.6439
-4.7036 -1.0676 1.9708
-1.6624 -1.2999 -1.4072
```

Computed properties:
* SG: P4/mmm
* calculated density: 10.173 g/cm³
* total magnetic moment: 0.0 μB per formula unit

***

no.,formation enthalpy at 0 K (kJ per mole of atoms)
1,-42.6
2,-29.2
3,-50.9
4,-50.3
5,-36.6
6,12.1
7,-23.5
8,-28.0
9,-5.0
10,-37.5
11,-38.5
12,-46.5